11
Lattice="3.112 -5.934 0.000 3.112 5.934 0.000 -1.720 0.000 11.261" Properties=species:S:1:pos:R:3 comment="Ac3Pm2Sm6, relaxed, DFT PBE" vol_a3_per_atom=37.8 energy_ev_per_atom=-4.38 pbc="T T T"
Ac 0.000 0.000 0.000
Ac 3.112 2.042 0.000
Ac 3.112 -2.042 0.000
Pm 2.252 1.669 5.630
Pm 2.252 -1.669 5.630
Sm 2.205 4.083 3.299
Sm 2.298 4.083 7.961
Sm 2.171 0.000 2.737
Sm 2.332 0.000 8.523
Sm 2.205 -4.083 3.299
Sm 2.298 -4.083 7.961

***

4
Lattice="0.000 2.882 2.882 2.882 0.000 2.882 2.882 2.882 0.000" Properties=species:S:1:pos:R:3 comment="V2CrFe, relaxed, DFT PBE" polymorph_energy_ev_per_atom=0.000 vol_a3_per_atom=12.0 energy_ev_per_atom=-9.24 pbc="T T T"
V 1.441 1.441 1.441
V 4.323 4.323 4.323
Cr 0.000 0.000 0.000
Fe 2.882 2.882 2.882

***

4
Lattice="4.063 -2.349 0.000 4.063 2.349 0.000 -2.702 0.000 4.915" Properties=species:S:1:pos:R:3 comment="CaCd2Cu, relaxed, DFT PBE" vol_a3_per_atom=23.5 energy_ev_per_atom=-2.13 pbc="T T T"
Ca 0.000 0.000 0.000
Cd 2.713 0.000 3.011
Cd 5.418 0.000 1.771
Cu 0.003 0.000 2.971

***

7
Lattice="3.936 0.000 0.000 -1.966 6.659 0.000 -0.004 -1.245 7.219" Properties=species:S:1:pos:R:3 comment="Ca2Ce2Ir3, relaxed, DFT PBE" polymorph_energy_ev_per_atom=0.094 vol_a3_per_atom=27.0 energy_ev_per_atom=-6.54 pbc="T T T"
Ca 0.001 1.261 2.638
Ca 1.964 4.154 4.581
Ce 0.001 4.788 0.665
Ce 1.964 0.626 6.555
Ir 0.000 0.000 0.000
Ir -0.004 2.122 5.441
Ir 1.969 3.292 1.779

***

4
Lattice="1.950 1.126 9.316 -1.950 1.126 9.316 0.000 -2.252 9.316" Properties=species:S:1:pos:R:3 comment="NaFeI2, relaxed, DFT PBE" polymorph_energy_ev_per_atom=0.385 raw_formation_energy_mev_per_atom=91 vol_a3_per_atom=30.7 energy_ev_per_atom=-3.13 pbc="T T T"
Na 0.000 0.000 0.000
Fe 0.000 0.000 13.974
I 0.000 0.000 3.270
I 0.000 0.000 24.678

***

4
Lattice="2.224 1.284 6.560 -2.224 1.284 6.560 0.000 -2.568 6.560" Properties=species:S:1:pos:R:3 comment="LiAcSe2, relaxed, DFT PBE" raw_formation_energy_mev_per_atom=-1684 vol_a3_per_atom=28.1 energy_ev_per_atom=-4.93 pbc="T T T"
Li 0.000 0.000 0.000
Ac 0.000 0.000 9.840
Se 0.000 0.000 5.029
Se 0.000 0.000 14.652

***

8
Lattice="7.355 0.000 0.000 0.000 4.252 0.000 -2.448 0.000 6.941" Properties=species:S:1:pos:R:3 comment="AcTb2PuAs4, relaxed, DFT PBE" vol_a3_per_atom=27.1 energy_ev_per_atom=-7.13 pbc="T T T"
Ac 0.000 0.000 0.000
Tb -1.224 2.126 3.471
Tb 2.454 0.000 3.471
Pu 3.678 2.126 0.000
As 0.085 0.000 5.164
As 1.307 2.126 1.839
As 3.601 2.126 5.103
As 4.822 0.000 1.778

***

4
Lattice="5.351 -1.533 0.000 5.351 1.533 0.000 -0.865 0.000 5.489" Properties=species:S:1:pos:R:3 comment="YTaCd2, relaxed, DFT PBE" polymorph_energy_ev_per_atom=0.123 vol_a3_per_atom=22.5 energy_ev_per_atom=-4.80 pbc="T T T"
Y 0.000 0.000 0.000
Ta 4.919 0.000 2.745
Cd 1.956 0.000 4.013
Cd 7.883 0.000 1.476